# 1
Zr3CdSn after structural relaxation. Source: Alexandria via LeMat-Bulk, functional GGA-PBE.

Cell lengths 5.3020, 5.3020, 5.3020 Å; angles 90.00, 90.00, 90.00 degrees
Sites, in units of the cell vectors:
1 Zr 0.0000 0.0000 0.5000
2 Zr 0.0000 0.5000 0.0000
3 Zr 0.5000 0.0000 0.0000
4 Sn 0.0000 0.0000 0.0000
5 Cd 0.5000 0.5000 0.5000

Output
magnetic moment	0.00	μB/atom
formation enthalpy at 0 K	17.06	kcal/mol of atoms
offset from the most stable computed form	860	meV/atom
total energy	-5.372	eV/atom

***

# 2
ZrCd3Sn after structural relaxation. Source: Alexandria via LeMat-Bulk, functional GGA-PBE.

Cell lengths 5.3155, 5.3155, 5.3155 Å; angles 90.00, 90.00, 90.00 degrees
Sites, in units of the cell vectors:
1 Cd 0.0000 0.5000 0.0000
2 Cd 0.0000 0.0000 0.5000
3 Cd 0.5000 0.0000 0.0000
4 Sn 0.0000 0.0000 0.0000
5 Zr 0.5000 0.5000 0.5000

Output
magnetic moment	0.00	μB/atom
formation enthalpy at 0 K	20.56	kcal/mol of atoms
offset from the most stable computed form	40	meV/atom
total energy	-2.168	eV/atom

***

# 3
Zr2CdSn after structural relaxation. Source: Alexandria via LeMat-Bulk, functional GGA-PBE.

Cell lengths 3.1508, 6.3356, 11.2146 Å; angles 123.06, 104.07, 93.87 degrees
Sites, in units of the cell vectors:
1 Zr 0.8569 0.9199 0.3225
2 Zr 0.3529 0.4175 0.8192
3 Zr 0.3536 0.9182 0.8199
4 Zr 0.8563 0.4192 0.3218
5 Cd 0.1053 0.4190 0.0709
6 Cd 0.1047 0.9185 0.0709
7 Sn 0.6049 0.9184 0.5709
8 Sn 0.6050 0.4192 0.5709

Output
magnetic moment	0.00	μB/atom
formation enthalpy at 0 K	-5.98	kcal/mol of atoms
total energy	-5.763	eV/atom

***

# 4
Zr12Cd3Sn after structural relaxation. Source: Alexandria via LeMat-Bulk, functional GGA-PBE.

Cell lengths 4.4704, 4.4704, 17.7942 Å; angles 90.00, 90.00, 90.00 degrees
Sites, in units of the cell vectors:
1 Zr 0.0000 0.5000 0.8764
2 Zr 0.5000 0.0000 0.3746
3 Zr 0.5000 0.5000 0.2504
4 Zr 0.0000 0.5000 0.6254
5 Zr 0.5000 0.0000 0.6254
6 Zr 0.5000 0.0000 0.8764
7 Zr 0.5000 0.0000 0.1236
8 Zr 0.0000 0.5000 0.3746
9 Zr 0.5000 0.5000 0.0000
10 Zr 0.0000 0.5000 0.1236
11 Zr 0.5000 0.5000 0.7496
12 Zr 0.5000 0.5000 0.5000
13 Sn 0.0000 0.0000 0.0000
14 Cd 0.0000 0.0000 0.2500
15 Cd 0.0000 0.0000 0.7500
16 Cd 0.0000 0.0000 0.5000

Output
magnetic moment	0.00	μB/atom
formation enthalpy at 0 K	-3.62	kcal/mol of atoms
total energy	-6.990	eV/atom

***

# 5
Zr3CdSn after structural relaxation. Source: Alexandria via LeMat-Bulk, functional GGA-PBE.

Cell lengths 6.8350, 8.5641, 8.5641 Å; angles 100.85, 77.64, 77.64 degrees
Sites, in units of the cell vectors:
1 Cd 0.7500 0.6670 0.3330
2 Cd 0.2500 0.3330 0.6670
3 Cd 0.7500 0.0022 0.9978
4 Cd 0.2500 0.9978 0.0022
5 Zr 0.0660 0.6863 0.9461
6 Zr 0.5156 0.6959 0.0602
7 Zr 0.5660 0.9461 0.6863
8 Zr 0.4340 0.0539 0.3137
9 Zr 0.9825 0.6760 0.6033
10 Zr 0.0175 0.3240 0.3967
11 Zr 0.9340 0.3137 0.0539
12 Zr 0.4825 0.6033 0.6760
13 Zr 0.4844 0.3041 0.9398
14 Zr 0.5175 0.3967 0.3240
15 Zr 0.0156 0.0602 0.6959
16 Zr 0.9844 0.9398 0.3041
17 Sn 0.6744 0.2078 0.5521
18 Sn 0.8256 0.4479 0.7922
19 Sn 0.1744 0.5521 0.2078
20 Sn 0.3256 0.7922 0.4479

Output
magnetic moment	0.00	μB/atom
formation enthalpy at 0 K	-2.78	kcal/mol of atoms
offset from the most stable computed form	0	meV/atom
total energy	-6.233	eV/atom

***

# 6
Zr2CdSn2 after structural relaxation. Source: Alexandria via LeMat-Bulk, functional GGA-PBE.

Cell lengths 7.8112, 7.8112, 3.9484 Å; angles 90.00, 90.00, 90.00 degrees
Sites, in units of the cell vectors:
1 Sn 0.6630 0.8370 0.5000
2 Sn 0.8370 0.3370 0.5000
3 Sn 0.3370 0.1630 0.5000
4 Sn 0.1630 0.6630 0.5000
5 Zr 0.8601 0.6399 0.0000
6 Zr 0.1399 0.3601 0.0000
7 Zr 0.6399 0.1399 0.0000
8 Zr 0.3601 0.8601 0.0000
9 Cd 0.5000 0.5000 0.0000
10 Cd 0.0000 0.0000 0.0000

Output
magnetic moment	0.00	μB/atom
formation enthalpy at 0 K	-4.97	kcal/mol of atoms
offset from the most stable computed form	20	meV/atom
total energy	-5.419	eV/atom

***

# 7
Zr4CdSn after structural relaxation. Source: Alexandria via LeMat-Bulk, functional GGA-PBE.

Cell lengths 5.5892, 6.4596, 8.8078 Å; angles 98.22, 108.50, 90.00 degrees
Sites, in units of the cell vectors:
1 Sn 0.8907 0.7500 0.0000
2 Sn 0.1093 0.2500 0.0000
3 Cd 0.0000 0.5000 0.5000
4 Cd 0.5000 0.0000 0.5000
5 Zr 0.9853 0.9083 0.7144
6 Zr 0.5332 0.0692 0.8514
7 Zr 0.7292 0.4083 0.7144
8 Zr 0.2708 0.5917 0.2856
9 Zr 0.0147 0.0917 0.2856
10 Zr 0.3182 0.5692 0.8514
11 Zr 0.6818 0.4308 0.1486
12 Zr 0.4668 0.9308 0.1486

Output
magnetic moment	0.00	μB/atom
formation enthalpy at 0 K	2.37	kcal/mol of atoms
total energy	-6.416	eV/atom

***

# 8
ZrCd2Sn after structural relaxation. Source: Alexandria via LeMat-Bulk, functional GGA-PBE.

Cell lengths 8.1348, 8.1348, 6.4624 Å; angles 50.99, 50.99, 90.00 degrees
Sites, in units of the cell vectors:
1 Sn 0.7500 0.2500 0.5000
2 Sn 0.0000 0.0000 0.0000
3 Zr 0.2500 0.7500 0.5000
4 Zr 0.5000 0.5000 0.0000
5 Cd 0.6357 0.1250 0.2500
6 Cd 0.8750 0.8857 0.7500
7 Cd 0.1143 0.6250 0.2500
8 Cd 0.3750 0.3643 0.7500

Output
magnetic moment	0.00	μB/atom
formation enthalpy at 0 K	1.89	kcal/mol of atoms
total energy	-3.513	eV/atom

***

# 9
Zr2CdSn after structural relaxation. Source: Alexandria via LeMat-Bulk, functional GGA-PBE.

Cell lengths 4.4030, 4.4604, 4.4604 Å; angles 90.00, 90.00, 90.00 degrees
Sites, in units of the cell vectors:
1 Cd 0.5000 0.0000 0.0000
2 Zr 0.0000 0.0000 0.5000
3 Zr 0.0000 0.5000 0.0000
4 Sn 0.5000 0.5000 0.5000

Output
magnetic moment	0.00	μB/atom
formation enthalpy at 0 K	-7.52	kcal/mol of atoms
total energy	-5.830	eV/atom

***

# 10
ZrCdSn after structural relaxation. Source: Alexandria via LeMat-Bulk, functional GGA-PBE.

Cell lengths 3.1320, 4.9731, 4.9731 Å; angles 120.00, 90.00, 90.00 degrees
Sites, in units of the cell vectors:
1 Zr 0.0003 0.0000 0.0000
2 Cd 0.4987 0.3333 0.6667
3 Sn 0.5010 0.6667 0.3333

Output
magnetic moment	0.00	μB/atom
formation enthalpy at 0 K	-2.75	kcal/mol of atoms
total energy	-4.608	eV/atom

***

# 11
ZrCd2Sn after structural relaxation. Source: Alexandria via LeMat-Bulk, functional GGA-PBE.

Cell lengths 4.6510, 4.3337, 4.3337 Å; angles 90.00, 90.00, 90.00 degrees
Sites, in units of the cell vectors:
1 Cd 0.0000 0.5000 0.0000
2 Cd 0.0000 0.0000 0.5000
3 Sn 0.5000 0.0000 0.0000
4 Zr 0.5000 0.5000 0.5000

Output
magnetic moment	0.00	μB/atom
formation enthalpy at 0 K	-5.31	kcal/mol of atoms
total energy	-3.826	eV/atom

***

# 12
Zr2Cd5Sn after structural relaxation. Source: Alexandria via LeMat-Bulk, functional GGA-PBE.

Cell lengths 4.3523, 6.3079, 12.5988 Å; angles 90.00, 90.00, 90.00 degrees
Sites, in units of the cell vectors:
1 Cd 0.0000 0.9773 0.7545
2 Cd 0.0000 0.0227 0.2455
3 Cd 0.0000 0.4773 0.7455
4 Cd 0.0000 0.5227 0.2545
5 Cd 0.5000 0.7771 0.1341
6 Cd 0.5000 0.2771 0.3659
7 Cd 0.0000 0.0000 0.0000
8 Cd 0.0000 0.5000 0.5000
9 Cd 0.5000 0.7229 0.6341
10 Cd 0.5000 0.2229 0.8659
11 Sn 0.0000 0.0000 0.5000
12 Sn 0.0000 0.5000 0.0000
13 Zr 0.5000 0.2255 0.6167
14 Zr 0.5000 0.7745 0.3833
15 Zr 0.5000 0.7255 0.8833
16 Zr 0.5000 0.2745 0.1167

Output
magnetic moment	0.00	μB/atom
formation enthalpy at 0 K	-5.22	kcal/mol of atoms
total energy	-3.436	eV/atom

***

# 13
Sr3Cd after structural relaxation. Source: Alexandria via LeMat-Bulk, functional GGA-PBE.

Cell lengths 4.2756, 4.2756, 11.8159 Å; angles 90.00, 90.00, 120.00 degrees
Sites, in units of the cell vectors:
1 Cd 0.0000 0.0000 0.0000
2 Sr 0.0000 0.0000 0.5000
3 Sr 0.6667 0.3333 0.7985
4 Sr 0.6667 0.3333 0.2015

Output
magnetic moment	0.00	μB/atom
formation enthalpy at 0 K	-1.96	kcal/mol of atoms
offset from the most stable computed form	84	meV/atom
total energy	-1.575	eV/atom

***

# 14
Sr3Cd after structural relaxation. Source: Alexandria via LeMat-Bulk, functional GGA-PBE.

Cell lengths 6.1633, 6.1633, 6.1633 Å; angles 60.00, 60.00, 60.00 degrees
Sites, in units of the cell vectors:
1 Sr 0.7500 0.7500 0.7500
2 Sr 0.2500 0.2500 0.2500
3 Sr 0.5000 0.5000 0.5000
4 Cd 0.0000 0.0000 0.0000

Output
magnetic moment	0.00	μB/atom
formation enthalpy at 0 K	-0.64	kcal/mol of atoms
offset from the most stable computed form	141	meV/atom
total energy	-1.518	eV/atom

***

# 15
Sr2Cd after structural relaxation. Source: Alexandria via LeMat-Bulk, functional GGA-PBE.

Cell lengths 7.5474, 7.5474, 9.7110 Å; angles 57.10, 57.10, 34.01 degrees
Sites, in units of the cell vectors:
1 Sr 0.3952 0.3952 0.2614
2 Sr 0.2159 0.2159 0.0163
3 Sr 0.9730 0.9730 0.5654
4 Sr 0.6381 0.6381 0.7124
5 Cd 0.6867 0.6867 0.3121
6 Cd 0.9244 0.9244 0.9657

Output
magnetic moment	0.00	μB/atom
formation enthalpy at 0 K	-4.78	kcal/mol of atoms
total energy	-1.634	eV/atom

***

# 16
SrCd7 after structural relaxation. Source: Alexandria via LeMat-Bulk, functional GGA-PBE.

Cell lengths 6.6693, 6.6693, 6.6693 Å; angles 60.00, 60.00, 60.00 degrees
Sites, in units of the cell vectors:
1 Cd 0.5000 0.0000 0.0000
2 Cd 0.0000 0.5000 0.0000
3 Cd 0.5000 0.5000 0.5000
4 Cd 0.0000 0.0000 0.5000
5 Cd 0.0000 0.5000 0.5000
6 Cd 0.5000 0.0000 0.5000
7 Cd 0.5000 0.5000 0.0000
8 Sr 0.0000 0.0000 0.0000

Output
magnetic moment	0.00	μB/atom
formation enthalpy at 0 K	-0.86	kcal/mol of atoms
offset from the most stable computed form	122	meV/atom
total energy	-1.048	eV/atom

***

# 17
Sr3Cd2 after structural relaxation. Source: Alexandria via LeMat-Bulk, functional GGA-PBE.

Cell lengths 4.0874, 4.0874, 22.4789 Å; angles 90.00, 90.00, 90.00 degrees
Sites, in units of the cell vectors:
1 Cd 0.5000 0.5000 0.5892
2 Cd 0.5000 0.5000 0.2286
3 Cd 0.5000 0.5000 0.4108
4 Cd 0.5000 0.5000 0.7714
5 Sr 0.5000 0.5000 0.0000
6 Sr 0.0000 0.0000 0.6794
7 Sr 0.0000 0.0000 0.3206
8 Sr 0.0000 0.0000 0.1425
9 Sr 0.0000 0.0000 0.8575
10 Sr 0.0000 0.0000 0.5000

Output
magnetic moment	0.00	μB/atom
formation enthalpy at 0 K	-6.07	kcal/mol of atoms
total energy	-1.639	eV/atom

***

# 18
Sr2Cd after structural relaxation. Source: Alexandria via LeMat-Bulk, functional GGA-PBE.

Cell lengths 5.7587, 5.7587, 4.3819 Å; angles 90.00, 90.00, 120.00 degrees
Sites, in units of the cell vectors:
1 Sr 0.6667 0.3333 0.7370
2 Sr 0.3333 0.6667 0.2630
3 Cd 0.0000 0.0000 0.0000

Output
magnetic moment	0.00	μB/atom
formation enthalpy at 0 K	-1.85	kcal/mol of atoms
total energy	-1.507	eV/atom

***

# 19
Sr2Cd after structural relaxation. Source: Alexandria via LeMat-Bulk, functional GGA-PBE.

Cell lengths 8.1900, 8.1900, 8.1900 Å; angles 90.00, 90.00, 90.00 degrees
Sites, in units of the cell vectors:
1 Sr 0.1551 0.8449 0.6551
2 Sr 0.3449 0.1551 0.1551
3 Sr 0.8449 0.3449 0.8449
4 Sr 0.6551 0.8449 0.8449
5 Sr 0.3449 0.3449 0.6551
6 Sr 0.6551 0.6551 0.3449
7 Sr 0.8449 0.1551 0.3449
8 Sr 0.1551 0.6551 0.1551
9 Cd 0.0000 0.5000 0.5000
10 Cd 0.5000 0.0000 0.5000
11 Cd 0.0000 0.0000 0.0000
12 Cd 0.5000 0.5000 0.0000

Output
magnetic moment	0.00	μB/atom
formation enthalpy at 0 K	-2.60	kcal/mol of atoms
total energy	-1.539	eV/atom

***

# 20
Sr4Cd11 after structural relaxation. Source: Alexandria via LeMat-Bulk, functional GGA-PBE.

Cell lengths 13.0226, 13.0226, 13.0226 Å; angles 92.91, 92.91, 153.96 degrees
Sites, in units of the cell vectors:
1 Cd 0.0000 0.0000 0.0000
2 Cd 0.7341 0.6226 0.6048
3 Cd 0.8726 0.7678 0.3885
4 Cd 0.2500 0.7500 0.5000
5 Cd 0.7341 0.1293 0.1115
6 Cd 0.8707 0.9822 0.6048
7 Cd 0.3774 0.9822 0.1115
8 Cd 0.1250 0.8750 0.2500
9 Cd 0.1250 0.8750 0.7500
10 Cd 0.2322 0.6207 0.1048
11 Cd 0.3793 0.4841 0.6115
12 Cd 0.3774 0.2659 0.3952
13 Cd 0.1250 0.3750 0.2500
14 Cd 0.8707 0.2659 0.8885
15 Cd 0.3793 0.7678 0.8952
16 Cd 0.0178 0.1293 0.3952
17 Cd 0.6250 0.8750 0.7500
18 Cd 0.2322 0.1274 0.6115
19 Cd 0.5159 0.6207 0.3885
20 Cd 0.8726 0.4841 0.1048
21 Cd 0.0178 0.6226 0.8885
22 Cd 0.5159 0.1274 0.8952
23 Sr 0.7444 0.3875 0.3569
24 Sr 0.6375 0.7806 0.1431
25 Sr 0.0306 0.3875 0.6431
26 Sr 0.6375 0.4944 0.8569
27 Sr 0.6125 0.9694 0.3569
28 Sr 0.2194 0.3625 0.8569
29 Sr 0.5056 0.3625 0.1431
30 Sr 0.6125 0.2556 0.6431

Output
magnetic moment	0.00	μB/atom
formation enthalpy at 0 K	-2.68	kcal/mol of atoms
total energy	-1.236	eV/atom